(1)
AlGaCo3 | GGA-PBE | optimized geometry

Unit cell a=4.2683 b=4.2683 c=4.2683 alpha=90.00 beta=90.00 gamma=90.00
Last column: nearest neighbours and their distance in Å.
Sites, in units of the cell vectors:
Al: 0.0000 0.0000 0.0000  12 Co 3.02
Ga: 0.5000 0.5000 0.5000  6 Co 2.13
Co: 0.0000 0.5000 0.5000  2 Ga 2.13
Co: 0.5000 0.0000 0.5000  2 Ga 2.13
Co: 0.5000 0.5000 0.0000  2 Ga 2.13

## Properties
As for the polymorph energy (0 for the lowest one): 0 meV/atom. Its calculated density is 5.841 g/cm3. The value obtained for the density of states at the Fermi level is 8.40 states/eV/cell. Its energy of formation is 0.81 eV/atom.

---

(2)
BeTeRuI2 | GGA-PBE | optimized geometry

Unit cell a=5.3862 b=5.3862 c=4.3288 alpha=90.00 beta=90.00 gamma=90.00
Last column: nearest neighbours and their distance in Å.
Sites, in units of the cell vectors:
Be: 0.0000 0.0000 0.0000  2 Ru 2.16
Te: 0.5000 0.5000 0.0000  8 I 3.46, 4 Be 3.81
Ru: 0.0000 0.0000 0.5000  2 Be 2.16
I: 0.0000 0.5000 0.5000  2 Ru 2.69
I: 0.5000 0.0000 0.5000  2 Ru 2.69

## Properties
As for the polymorph energy (0 for the lowest one): 0 meV/atom. Its calculated density is 6.499 g/cm3. The value obtained for the density of states at the Fermi level is 4.76 states/eV/cell. As for the formation energy without anion corrections: 696 meV/atom.

---

(3)
Ca7In2Ag2 | GGA-PBE | optimized geometry

Unit cell a=7.1861 b=7.1861 c=7.6474 alpha=90.00 beta=90.00 gamma=109.12
Last column: nearest neighbours and their distance in Å.
Sites, in units of the cell vectors:
Ca: 0.0000 0.0000 0.0000  2 Ag 3.43
Ca: 0.0000 0.5000 0.2715  2 Ag 2.98
Ca: 0.0000 0.5000 0.7285  2 Ag 2.98
Ca: 0.5000 0.0000 0.2715  2 Ag 2.98
Ca: 0.5000 0.0000 0.7285  2 Ag 2.98
Ca: 0.5000 0.5000 0.2530  2 Ag 3.10, 2 In 3.31
Ca: 0.5000 0.5000 0.7470  2 Ag 3.10, 2 In 3.31
In: 0.1734 0.1734 0.5000  1 In 2.89
In: 0.8266 0.8266 0.5000  1 In 2.89
Ag: 0.2928 0.7072 0.0000  6 Ca 2.98-3.10
Ag: 0.7072 0.2928 0.0000  6 Ca 2.98-3.10

## Properties
Its calculated density is 3.231 g/cm3. The value obtained for the density of states at the Fermi level is 9.07 states/eV/cell. Its energy of formation is -0.18 eV/atom.

---

(4)
MoPtSe2 | GGA-PBE | optimized geometry

Unit cell a=3.2207 b=3.2207 c=24.9615 alpha=90.00 beta=90.00 gamma=120.00
Last column: nearest neighbours and their distance in Å.
Sites, in units of the cell vectors:
Mo: 0.0000 0.0000 0.0000  6 Se 2.55
Mo: 0.3333 0.6667 0.6667  6 Se 2.55
Mo: 0.6667 0.3333 0.3333  6 Se 2.55
Pt: 0.0000 0.0000 0.5000  2 Se 2.42
Pt: 0.3333 0.6667 0.1667  2 Se 2.42
Pt: 0.6667 0.3333 0.8333  2 Se 2.42
Se: 0.0000 0.0000 0.4032  1 Pt 2.42, 3 Mo 2.55
Se: 0.0000 0.0000 0.5968  1 Pt 2.42, 3 Mo 2.55
Se: 0.3333 0.6667 0.0698  1 Pt 2.42, 3 Mo 2.55
Se: 0.3333 0.6667 0.2635  1 Pt 2.42, 3 Mo 2.55
Se: 0.6667 0.3333 0.7365  1 Pt 2.42, 3 Mo 2.55
Se: 0.6667 0.3333 0.9302  1 Pt 2.42, 3 Mo 2.55

## Properties
As for the polymorph energy (0 for the lowest one): 0 meV/atom. Its calculated density is 9.974 g/cm3. The value obtained for the density of states at the Fermi level is 12.31 states/eV/cell. As for the formation energy without anion corrections: -136 meV/atom.

---

(5)
LiSmAl | GGA-PBE | optimized geometry

Unit cell a=4.5907 b=4.8313 c=6.2173 alpha=89.69 beta=68.46 gamma=90.00
Last column: nearest neighbours and their distance in Å.
Sites, in units of the cell vectors:
Li: 0.2364 0.2509 0.0266  4 Al 2.78-3.06, 4 Sm 2.87-2.96
Li: 0.7636 0.7491 0.9734  4 Al 2.78-3.06, 4 Sm 2.87-2.96
Sm: 0.1029 0.7494 0.2965  4 Li 2.87-2.96
Sm: 0.8971 0.2506 0.7035  4 Li 2.87-2.96
Al: 0.3985 0.7520 0.7021  4 Li 2.78-3.06
Al: 0.6015 0.2480 0.2979  4 Li 2.78-3.06

## Properties
As for the polymorph energy (0 for the lowest one): 10 meV/atom. Its calculated density is 4.772 g/cm3. The value obtained for the density of states at the Fermi level is 3.95 states/eV/cell. Its energy of formation is -0.19 eV/atom.

---

(6)
CePm5Ru4 | GGA-PBE | optimized geometry

Unit cell a=8.6808 b=8.6808 c=7.1477 alpha=109.23 beta=109.23 gamma=30.03
Last column: nearest neighbours and their distance in Å.
Sites, in units of the cell vectors:
Ce: 0.0000 0.0000 0.0000  6 Ru 2.71-3.00
Pm: 0.0000 0.0000 0.5000  6 Ru 3.07-3.39
Pm: 0.3334 0.3334 0.8074  5 Ru 2.92-3.21
Pm: 0.3345 0.3345 0.3036  4 Ru 2.81-3.14
Pm: 0.6655 0.6655 0.6964  4 Ru 2.81-3.14
Pm: 0.6666 0.6666 0.1926  5 Ru 2.92-3.21
Ru: 0.1669 0.1669 0.9329  5 Pm 2.81-3.14, 1 Ce 3.00
Ru: 0.4865 0.4865 0.1980  2 Ce 2.71, 1 Pm 2.89, 1 Ru 3.02
Ru: 0.5135 0.5135 0.8020  2 Ce 2.71, 1 Pm 2.89, 1 Ru 3.02
Ru: 0.8331 0.8331 0.0671  5 Pm 2.81-3.14, 1 Ce 3.00

## Properties
As for the polymorph energy (0 for the lowest one): 40 meV/atom. Its calculated density is 8.319 g/cm3. The value obtained for the density of states at the Fermi level is 9.21 states/eV/cell. Its energy of formation is -0.17 eV/atom.

---

(7)
BaThAu2 | GGA-PBE | optimized geometry

Unit cell a=3.8516 b=3.8516 c=7.9300 alpha=90.00 beta=90.00 gamma=90.00
Last column: nearest neighbours and their distance in Å.
Sites, in units of the cell vectors:
Ba: 0.0000 0.0000 0.0000  8 Au 3.63, 4 Ba 3.85, 2 Th 3.97
Th: 0.0000 0.0000 0.5000  8 Au 3.14
Au: 0.5000 0.5000 0.3017  1 Au 3.14, 4 Th 3.14
Au: 0.5000 0.5000 0.6983  1 Au 3.14, 4 Th 3.14

## Properties
As for the polymorph energy (0 for the lowest one): 0 meV/atom. Its calculated density is 10.774 g/cm3. The value obtained for the density of states at the Fermi level is 3.78 states/eV/cell. Its energy of formation is -0.61 eV/atom.

---

(8)
La3AlMo | GGA-PBE | optimized geometry

Unit cell a=5.4436 b=5.4436 c=5.4436 alpha=90.00 beta=90.00 gamma=90.00
Last column: nearest neighbours and their distance in Å.
Sites, in units of the cell vectors:
La: 0.0000 0.0000 0.5000  2 Mo 2.72
La: 0.0000 0.5000 0.0000  2 Mo 2.72
La: 0.5000 0.0000 0.0000  2 Mo 2.72
Al: 0.5000 0.5000 0.5000  12 La 3.85
Mo: 0.0000 0.0000 0.0000  6 La 2.72

## Properties
As for the polymorph energy (0 for the lowest one): 0 meV/atom. Its calculated density is 5.555 g/cm3. The value obtained for the density of states at the Fermi level is 6.74 states/eV/cell. Its energy of formation is 0.25 eV/atom.

---

(9)
Ca2BeW | GGA-PBE | optimized geometry

Unit cell a=3.3121 b=3.3121 c=8.4379 alpha=90.00 beta=90.00 gamma=90.00
Last column: nearest neighbours and their distance in Å.
Sites, in units of the cell vectors:
Ca: 0.0000 0.0000 0.0000  1 W 2.89
Ca: 0.5000 0.5000 0.3941  1 Be 2.80
Be: 0.5000 0.5000 0.7260  4 W 2.41
W: 0.0000 0.0000 0.6571  4 Be 2.41

## Properties
Its calculated density is 4.898 g/cm3. The value obtained for the density of states at the Fermi level is 4.29 states/eV/cell. Its energy of formation is 0.53 eV/atom.

---

(10)
Pm2ErAl | GGA-PBE | optimized geometry

Unit cell a=5.3286 b=6.9453 c=12.1039 alpha=90.00 beta=90.00 gamma=90.00
Last column: nearest neighbours and their distance in Å.
Sites, in units of the cell vectors:
Pm: 0.0000 0.0000 0.0000  4 Al 3.27-3.48, 2 Pm 3.28, 4 Er 3.42
Pm: 0.0000 0.2333 0.2352  4 Pm 3.24-3.42, 4 Al 3.26-3.55, 2 Er 3.40
Pm: 0.0000 0.2667 0.7352  4 Pm 3.24-3.42, 4 Al 3.26-3.55, 2 Er 3.40
Pm: 0.0000 0.5000 0.5000  4 Al 3.27-3.48, 2 Pm 3.28, 4 Er 3.42
Pm: 0.0000 0.7333 0.7352  4 Pm 3.24-3.42, 4 Al 3.26-3.55, 2 Er 3.40
Pm: 0.0000 0.7667 0.2352  4 Pm 3.24-3.42, 4 Al 3.26-3.55, 2 Er 3.40
Pm: 0.5000 0.0000 0.6460  4 Er 3.29-3.68, 4 Al 3.30-3.48, 4 Pm 3.42
Pm: 0.5000 0.5000 0.1460  4 Er 3.29-3.68, 4 Al 3.30-3.48, 4 Pm 3.42
Er: 0.5000 0.2351 0.4096  4 Al 3.26-3.52, 1 Er 3.27, 5 Pm 3.29-3.42
Er: 0.5000 0.2649 0.9096  4 Al 3.26-3.52, 1 Er 3.27, 5 Pm 3.29-3.42
Er: 0.5000 0.7351 0.9096  4 Al 3.26-3.52, 1 Er 3.27, 5 Pm 3.29-3.42
Er: 0.5000 0.7649 0.4096  4 Al 3.26-3.52, 1 Er 3.27, 5 Pm 3.29-3.42
Al: 0.0000 0.0000 0.4852  4 Er 3.26, 8 Pm 3.30-3.55
Al: 0.0000 0.5000 0.9852  4 Er 3.26, 8 Pm 3.30-3.55
Al: 0.5000 0.0000 0.1571  8 Pm 3.26-3.48, 4 Er 3.47-3.52
Al: 0.5000 0.5000 0.6571  8 Pm 3.26-3.48, 4 Er 3.47-3.52

## Properties
As for the polymorph energy (0 for the lowest one): 0 meV/atom. Its calculated density is 7.180 g/cm3. The value obtained for the density of states at the Fermi level is 16.12 states/eV/cell. Its energy of formation is -0.18 eV/atom.

---

(11)
TiCdPt | GGA-PBE | optimized geometry

Unit cell a=7.3235 b=7.3235 c=7.3235 alpha=34.53 beta=34.53 gamma=34.53
Last column: nearest neighbours and their distance in Å.
Sites, in units of the cell vectors:
Ti: 0.1341 0.1341 0.1341  3 Pt 2.60, 3 Ti 2.85
Ti: 0.8659 0.8659 0.8659  3 Pt 2.60, 3 Ti 2.85
Cd: 0.2960 0.2960 0.2960  4 Pt 2.84-2.87, 3 Cd 2.94
Cd: 0.7040 0.7040 0.7040  4 Pt 2.84-2.87, 3 Cd 2.94
Pt: 0.4350 0.4350 0.4350  3 Ti 2.60, 1 Pt 2.68, 4 Cd 2.84-2.87
Pt: 0.5650 0.5650 0.5650  3 Ti 2.60, 1 Pt 2.68, 4 Cd 2.84-2.87

## Properties
Its calculated density is 10.480 g/cm3. The value obtained for the density of states at the Fermi level is 3.54 states/eV/cell. Its energy of formation is -0.46 eV/atom.

---

(12)
LiTePAu2 | GGA-PBE | optimized geometry

Unit cell a=5.3236 b=5.3236 c=5.1489 alpha=90.00 beta=90.00 gamma=90.00
Last column: nearest neighbours and their distance in Å.
Sites, in units of the cell vectors:
Li: 0.0000 0.0000 0.0000  8 Au 3.70, 4 P 3.76
Te: 0.5000 0.5000 0.5000  2 P 2.57, 4 Au 2.66
P: 0.5000 0.5000 0.0000  2 Te 2.57
Au: 0.0000 0.5000 0.5000  2 Te 2.66
Au: 0.5000 0.0000 0.5000  2 Te 2.66

## Properties
Its calculated density is 6.366 g/cm3. The value obtained for the density of states at the Fermi level is 3.36 states/eV/cell. As for the formation energy without anion corrections: 556 meV/atom.

---

Question: Which of these has the highest calculated density?
Answer: BaThAu2

---

Question: Which of these has the lowest calculated density?
Answer: Ca7In2Ag2

---

Question: Which value of calculated density does entry 3 give?
Answer: 3.231 g/cm3

---

Question: Among the records above, which one has the highest calculated density?
Answer: BaThAu2